Entry 1:
SbAu3O GGA-PBE relaxed; symmetry = No. 221; ΔE to the lowest computed polymorph = 647.6 meV per atom; D(E_F) = 15.77 states/eV/f.u.; formation energy (no corrections) = 99.57 kJ/mol of atoms
1.0
5.1961 0.0000 0.0000
0.0000 5.1961 0.0000
0.0000 0.0000 5.1961
O Au Sb
1 3 1
Direct
0.5000 0.5000 0.5000
0.0000 0.5000 0.0000
0.0000 0.0000 0.5000
0.5000 0.0000 0.0000
0.0000 0.0000 0.0000

=====

Entry 2:
ZnPBrCl2 GGA-PBE relaxed; symmetry = No. 123; ΔE to the lowest computed polymorph = 0.0 meV per atom; D(E_F) = 0.65 states/eV/f.u.; formation energy (no corrections) = 11.79 kJ/mol of atoms
1.0
4.5299 0.0000 0.0000
0.0000 4.5299 0.0000
0.0000 0.0000 7.2885
Br P Cl Zn
1 1 2 1
Direct
0.5000 0.5000 0.5000
0.0000 0.0000 0.5000
0.0000 0.5000 0.0000
0.5000 0.0000 0.0000
0.0000 0.0000 0.0000

=====

Entry 3:
ZrZnRe2 GGA-PBE relaxed; symmetry = No. 10; formation energy from the elements = 0.12 eV per atom; D(E_F) = 2.46 states/eV/f.u.
1.0
-1.0753 0.3641 -4.4717
2.4381 -0.9751 -0.6657
-1.2574 -5.1255 -0.1150
Zr Re Zn
1 2 1
Direct
0.5000 0.7500 0.7500
0.0000 0.4984 0.4879
0.0000 0.0016 0.0121
0.5000 0.2500 0.2500

=====

Entry 4:
Co2CuHRu GGA-PBE relaxed; symmetry = No. 123; ΔE to the lowest computed polymorph = 0.0 meV per atom; D(E_F) = 4.58 states/eV/f.u.
1.0
-1.5397 -1.6272 2.9440
-2.5158 -1.5922 -2.1958
2.2635 -2.9560 -0.4500
Cu Ru Co H
1 1 2 1
Direct
0.5000 0.5000 0.5000
0.0000 0.0000 0.5000
0.0000 0.5000 0.0000
0.5000 0.0000 0.0000
0.0000 0.0000 0.0000

=====

Entry 5:
BaLiDyHg GGA-PBE relaxed; symmetry = No. 216; formation energy from the elements = -0.09 eV per atom; D(E_F) = 3.93 states/eV/f.u.
1.0
5.6055 0.0000 0.0000
2.8027 4.8545 0.0000
2.8027 1.6182 4.5769
Hg Li Ba Dy
1 1 1 1
Direct
0.7500 0.7500 0.7500
0.2500 0.2500 0.2500
0.0000 0.0000 0.0000
0.5000 0.5000 0.5000

=====

Entry 6:
La2ErTl GGA-PBE relaxed; symmetry = No. 11; ΔE to the lowest computed polymorph = 109.4 meV per atom; formation energy from the elements = -0.09 eV per atom; D(E_F) = 5.19 states/eV/f.u.
1.0
4.7468 0.0000 -0.0231
0.0000 4.5564 0.0000
-2.3330 0.0000 11.7643
Er La Tl
2 4 2
Direct
0.3005 0.2500 0.6022
0.6995 0.7500 0.3978
0.0565 0.7500 0.1134
0.4247 0.7500 0.8503
0.9435 0.2500 0.8866
0.5753 0.2500 0.1497
0.8281 0.7500 0.6583
0.1719 0.2500 0.3417

=====

Entry 7:
Mg2TaVIn GGA-PBE relaxed; symmetry = No. 123; formation energy from the elements = 1.13 eV per atom; D(E_F) = 5.20 states/eV/f.u.
1.0
5.4276 0.0000 0.0000
0.0000 4.4920 0.0000
0.0000 0.0000 5.4276
Mg In V Ta
2 1 1 1
Direct
0.0000 0.0000 0.5000
0.5000 0.0000 0.0000
0.5000 0.5000 0.5000
0.0000 0.5000 0.0000
0.0000 0.0000 0.0000

=====

Entry 8:
LaHgAs4 GGA-PBE relaxed; symmetry = No. 216; formation energy from the elements = -0.29 eV per atom; D(E_F) = 4.63 states/eV/f.u.
1.0
3.2256 1.0793 4.6657
2.3833 5.2096 0.7199
-1.9725 3.5328 4.1191
Hg As La
1 4 1
Direct
0.7500 0.7500 0.7500
0.3790 0.3790 0.3790
0.3790 0.8629 0.3790
0.8629 0.3790 0.3790
0.3790 0.3790 0.8629
0.0000 0.0000 0.0000

=====

no.,magnetization (Bohr magnetons per cell)
1,0.00
2,1.97
3,0.00
4,4.70
5,0.00
6,0.00
7,0.00
8,0.00